Record 1
Material: Li4Mg2Pb
Method: DFT, PBE
State: relaxed

Cell lengths 5.5484, 7.3955, 7.6945 Å; angles 88.01, 80.36, 71.17 degrees
Last column: nearest neighbours and their distance in Å.
Space group P1 (No. 1)
Asymmetric unit:
Li 0.0000 0.0000 0.0000 (multiplicity 1)  5 Li 2.79-3.10, 1 Pb 2.83, 2 Mg 3.02-3.08
Li 0.0194 0.6122 0.2198 (multiplicity 1)  6 Li 3.00-3.26, 3 Pb 3.06-3.26, 2 Mg 3.20-3.32
Li 0.1579 0.0550 0.6436 (multiplicity 1)  2 Mg 2.77-3.07, 4 Li 2.79-2.98
Li 0.2829 0.3957 0.5139 (multiplicity 1)  6 Li 2.76-3.03, 2 Pb 2.93-3.02, 3 Mg 2.95-3.08
Li 0.5762 0.8175 0.0343 (multiplicity 1)  4 Mg 2.94-3.06, 2 Pb 2.97-3.12, 4 Li 3.00-3.25
Li 0.7252 0.0404 0.3782 (multiplicity 1)  2 Mg 2.90-3.19, 4 Li 2.99-3.23, 3 Pb 3.03-3.09
Li 0.7860 0.3939 0.5161 (multiplicity 1)  5 Li 2.76-3.07, 1 Mg 2.98, 1 Pb 3.00
Li 0.9649 0.4083 0.8704 (multiplicity 1)  1 Pb 2.73, 2 Li 2.98-2.99, 2 Mg 3.02-3.03
Mg 0.3502 0.6243 0.8104 (multiplicity 1)  5 Li 2.94-3.11, 4 Mg 3.12-3.25
Mg 0.4038 0.7485 0.4102 (multiplicity 1)  4 Li 2.77-2.98, 1 Pb 3.04
Mg 0.5396 0.1781 0.8183 (multiplicity 1)  7 Li 3.02-3.31, 2 Mg 3.12-3.16, 1 Pb 3.27
Mg 0.8394 0.7648 0.6544 (multiplicity 1)  6 Li 2.90-3.18, 2 Mg 3.12-3.16
Pb 0.2138 0.1533 0.2450 (multiplicity 1)  7 Li 2.83-3.11, 1 Mg 3.14
Pb 0.6018 0.4059 0.1565 (multiplicity 1)  2 Li 2.73-3.02, 1 Mg 3.04

Results
total magnetization = 0.00 μB per cell
crystal system = triclinic
distance to the lowest polymorph of the same formula = 39 meV per atom

***

Record 2
Material: Li3MgPb
Method: DFT, PBE
State: relaxed

Cell lengths 4.8786, 6.0418, 7.5224 Å; angles 78.52, 71.84, 88.87 degrees
Last column: nearest neighbours and their distance in Å.
Space group P1 (No. 1)
Asymmetric unit:
Li 0.0000 0.0000 0.0000 (multiplicity 1)  3 Pb 2.95-3.12, 4 Li 2.99-3.31, 2 Mg 2.99-3.01
Li 0.0072 0.5090 0.9852 (multiplicity 1)  5 Li 2.93-3.06, 2 Mg 3.03-3.06, 2 Pb 3.07-3.23
Li 0.1912 0.8359 0.6123 (multiplicity 1)  4 Pb 2.88-3.04, 4 Li 2.94-3.13, 1 Mg 2.95
Li 0.5913 0.3608 0.8184 (multiplicity 1)  4 Pb 2.88-3.04, 4 Li 2.93-3.13, 1 Mg 2.96
Li 0.7755 0.6880 0.4443 (multiplicity 1)  5 Li 2.94-3.06, 2 Mg 3.04-3.07, 2 Pb 3.07-3.23
Li 0.7841 0.1970 0.4295 (multiplicity 1)  3 Pb 2.96-3.12, 4 Li 2.99-3.31, 2 Mg 3.00-3.02
Mg 0.3912 0.5958 0.2148 (multiplicity 1)  2 Pb 2.93, 2 Mg 3.02, 4 Li 3.03-3.07
Mg 0.3923 0.0959 0.2149 (multiplicity 1)  6 Li 2.95-3.02, 2 Mg 3.02
Pb 0.1926 0.3397 0.6087 (multiplicity 1)  8 Li 2.88-3.12, 1 Mg 2.93
Pb 0.5905 0.8569 0.8219 (multiplicity 1)  8 Li 2.88-3.12, 1 Mg 2.93

Results
total magnetization = 0.00 μB per cell
crystal system = triclinic
distance to the lowest polymorph of the same formula = 0 meV per atom

***

Record 3
Material: Li5Mg2Pb12
Method: DFT, PBE
State: relaxed

Cell lengths 15.9772, 7.0960, 9.6755 Å; angles 90.00, 103.70, 90.00 degrees
Last column: nearest neighbours and their distance in Å.
Space group C2/m (No. 12)
Asymmetric unit:
Li 0.0000 0.0000 0.0000 (multiplicity 2)  6 Pb 2.74
Li 0.1386 0.5000 0.3906 (multiplicity 4)  7 Pb 3.00-3.16, 2 Mg 3.20
Li 0.2492 0.5000 0.9743 (multiplicity 4)  8 Pb 3.16-3.51
Mg 0.0000 0.2513 0.5000 (multiplicity 4)  6 Pb 3.11-3.29, 2 Li 3.20
Pb 0.0510 0.5000 0.7845 (multiplicity 4)  2 Li 3.10-3.26, 2 Mg 3.21, 2 Pb 3.45
Pb 0.0684 0.0000 0.7658 (multiplicity 4)  1 Li 2.74
Pb 0.1167 0.2727 0.1161 (multiplicity 8)  2 Li 2.74-3.06
Pb 0.2079 0.2600 0.6475 (multiplicity 8)  2 Li 3.00-3.16, 2 Pb 3.18-3.30, 1 Mg 3.29

Results
total magnetization = 0.00 μB per cell
crystal system = monoclinic
VASP energy = -115.58 eV for the cell shown